<A>
## CaLa2Ir (PBE)

Data for crystalline CaLa2Ir at its relaxed geometry.

The calculation puts the spin magnetization at 0.000 μB per atom. As for the mass density: 6.65 Mg/m³.

The space group is Imm2 (No. 44) and the conventional cell measures 3.6588, 5.1831 and 13.4418 Å, with angles of 90.00, 90.00 and 90.00 degrees. The distinct sites, in fractional coordinates, are Ca at (0.0000, 0.0000, 0.0000), La at (0.0000, 0.0000, 0.3451), La at (0.0000, 0.5000, 0.1726) and Ir at (0.0000, 0.5000, 0.6816).

<B>
## CaLa2Ir (PBE)

Data for crystalline CaLa2Ir at its relaxed geometry.

The calculation puts the spin magnetization at 0.000 μB per atom. As for the mass density: 6.37 Mg/m³.

The space group is I-42d (No. 122) and the conventional cell measures 9.0392, 9.0392 and 6.5127 Å, with angles of 90.00, 90.00 and 90.00 degrees. The distinct sites, in fractional coordinates, are Ca at (0.0000, 0.0000, 0.0000), La at (0.1608, 0.2500, 0.6250) and Ir at (0.0000, 0.0000, 0.5000).

Result of the stability comparison: <B> is the least stable of them.

<A>
## CaLa2Ir (PBE)

Data for crystalline CaLa2Ir at its relaxed geometry.

The calculation puts the spin magnetization at 0.000 μB per atom. As for the mass density: 7.83 Mg/m³.

The space group is I-4m2 (No. 119) and the conventional cell measures 4.4584, 4.4584 and 10.8884 Å, with angles of 90.00, 90.00 and 90.00 degrees. The distinct sites, in fractional coordinates, are Ca at (0.0000, 0.0000, 0.0000), La at (0.0000, 0.0000, 0.5000), La at (0.0000, 0.5000, 0.2500) and Ir at (0.0000, 0.5000, 0.7500).

<B>
## CaLa2Ir (PBE)

Data for crystalline CaLa2Ir at its relaxed geometry.

The calculation puts the spin magnetization at 0.000 μB per atom. As for the mass density: 8.14 Mg/m³.

The space group is F-43m (No. 216) and the conventional cell measures 7.4658, 7.4658 and 7.4658 Å, with angles of 90.00, 90.00 and 90.00 degrees. The distinct sites, in fractional coordinates, are Ca at (0.0000, 0.0000, 0.0000), La at (0.0000, 0.0000, 0.5000), La at (0.2500, 0.2500, 0.7500) and Ir at (0.2500, 0.2500, 0.2500).

Result of the stability comparison: <B> is the least stable of them.

<A>
## CaLa2Ir (PBE)

Data for crystalline CaLa2Ir at its relaxed geometry.

The calculation puts the spin magnetization at 0.000 μB per atom. As for the mass density: 7.76 Mg/m³.

The space group is P4/mmm (No. 123) and the conventional cell measures 5.0991, 5.0991 and 4.1992 Å, with angles of 90.00, 90.00 and 90.00 degrees. The distinct sites, in fractional coordinates, are Ca at (0.0000, 0.0000, 0.0000), La at (0.0000, 0.5000, 0.5000) and Ir at (0.5000, 0.5000, 0.0000).

<B>
## CaLa2Ir (PBE)

Data for crystalline CaLa2Ir at its relaxed geometry.

The calculation puts the spin magnetization at 0.000 μB per atom. As for the mass density: 6.88 Mg/m³.

The space group is P4mm (No. 99) and the conventional cell measures 3.6021, 3.6021 and 9.4932 Å, with angles of 90.00, 90.00 and 90.00 degrees. The distinct sites, in fractional coordinates, are Ca at (0.0000, 0.0000, 0.0000), La at (0.0000, 0.0000, 0.3493), La at (0.5000, 0.5000, 0.6771) and Ir at (0.5000, 0.5000, 0.1919).

<C>
## CaLa2Ir (PBE)

Data for crystalline CaLa2Ir at its relaxed geometry.

The calculation puts the spin magnetization at 0.000 μB per atom. As for the mass density: 6.74 Mg/m³.

The space group is P2/m (No. 10) and the conventional cell measures 4.4030, 4.0907 and 7.1627 Å, with angles of 90.00, 102.99 and 90.00 degrees. The distinct sites, in fractional coordinates, are Ca at (0.0000, 0.0000, 0.0000), La at (0.3779, 0.5000, 0.6904) and Ir at (0.0000, 0.0000, 0.5000).

Result of the stability comparison: <A> is the least stable of them.

<A>
## CaLa2Ir (PBE)

Data for crystalline CaLa2Ir at its relaxed geometry.

The calculation puts the spin magnetization at 0.000 μB per atom. As for the mass density: 6.85 Mg/m³.

The space group is Cmcm (No. 63) and the conventional cell measures 4.1629, 12.8768 and 9.2284 Å, with angles of 90.00, 90.00 and 90.00 degrees. The distinct sites, in fractional coordinates, are Ca at (0.0000, 0.0762, 0.2500), La at (0.0000, 0.3541, 0.0636) and Ir at (0.0000, 0.2447, 0.7500).

<B>
## CaLa2Ir (PBE)

Data for crystalline CaLa2Ir at its relaxed geometry.

The calculation puts the spin magnetization at 0.000 μB per atom. As for the mass density: 5.66 Mg/m³.

The space group is R3m (No. 160, hexagonal axes) and the conventional cell measures 4.2166, 4.2166 and 29.1511 Å, with angles of 90.00, 90.00 and 120.00 degrees. The distinct sites, in fractional coordinates, are Ca at (0.0000, 0.0000, 0.0000), La at (0.0000, 0.0000, 0.2207), La at (0.0000, 0.0000, 0.4497) and Ir at (0.0000, 0.0000, 0.8353).

Result of the stability comparison: <A> is the least stable of them.